5
Lattice="4.7146 0.0000 0.0000 0.0000 4.7146 0.0000 0.0000 0.0000 4.7146" Properties=species:S:1:pos:R:3 comment="PdW3C, optimized geometry, DFT GGA-PBE" m_tot_mub_per_cell=0.00 e_form_ev_per_atom=3.59 e_tot_ha_per_atom=-0.260 sg="Pm-3m (221)" e_above_lowest_polymorph_kj_per_mol_fu=1640 pbc="T T T"
Pd 0.0000 0.0000 0.0000
W 0.0000 0.0000 2.3573
W 0.0000 2.3573 0.0000
W 2.3573 0.0000 0.0000
C 2.3573 2.3573 2.3573